# 1
Cr5Hg: relaxed, PBE.

abc: 4.9058 4.9058 3.9696
angles: 90.00 90.00 120.00
Fractional positions:
Cr 0.5000 0.0000 0.5000
Cr 0.3333 0.6667 0.0000
Cr 0.6667 0.3333 0.0000
Cr 0.0000 0.5000 0.5000
Cr 0.5000 0.5000 0.5000
Hg 0.0000 0.0000 0.0000

volume	82.7	Å³/cell
energy above the lowest structure with this stoichiometry	0.98	eV/f.u.
crystal system	hexagonal
E	-7.5093	eV/atom
energy of formation	560.5	meV/atom

***

# 2
CrHg: relaxed, PBE.

abc: 3.9678 3.9678 3.9678
angles: 60.00 60.00 60.00
Site moments in Bohr magnetons follow the coordinates.
Fractional positions:
Hg 0.5000 0.5000 0.5000  0.05
Cr 0.0000 0.0000 0.0000  3.83

volume	44.2	Å³/cell
crystal system	cubic
E	-4.2188	eV/atom
energy of formation	743.8	meV/atom

***

# 3
Cr2Hg: relaxed, PBE.

abc: 8.5310 8.5310 4.0985
angles: 90.00 90.00 160.07
Site moments in Bohr magnetons follow the coordinates.
Fractional positions:
Cr 0.4452 0.5548 0.2500  2.17
Cr 0.9376 0.0624 0.7500  -2.05
Cr 0.0624 0.9376 0.2500  -2.05
Cr 0.5548 0.4452 0.7500  2.17
Hg 0.8042 0.1958 0.2500  0.00
Hg 0.1958 0.8042 0.7500  0.00

volume	101.7	Å³/cell
energy above the lowest structure with this stoichiometry	0.00	eV/f.u.
crystal system	orthorhombic
E	-6.1326	eV/atom
energy of formation	383.6	meV/atom

***

# 4
Cr2Hg: relaxed, PBE.

abc: 4.6203 4.6203 5.6220
angles: 90.00 90.00 120.00
Site moments in Bohr magnetons follow the coordinates.
Fractional positions:
Cr 0.0000 0.0000 0.0000  -3.36
Cr 0.0000 0.0000 0.5000  -3.36
Cr 0.3333 0.6667 0.2500  3.41
Cr 0.6667 0.3333 0.7500  3.41
Hg 0.6667 0.3333 0.2500  0.04
Hg 0.3333 0.6667 0.7500  0.04

volume	103.9	Å³/cell
energy above the lowest structure with this stoichiometry	0.49	eV/f.u.
crystal system	hexagonal
E	-5.9681	eV/atom
energy of formation	548.1	meV/atom

***

# 5
CrHg: relaxed, PBE.

abc: 4.4360 4.4360 4.4360
angles: 90.00 120.00 60.00
Site moments in Bohr magnetons follow the coordinates.
Fractional positions:
Cr 0.0000 0.0000 0.0000  3.97
Hg 0.5000 0.2500 0.2500  0.08

volume	61.7	Å³/cell
crystal system	cubic
E	-3.7698	eV/atom
energy of formation	1192.8	meV/atom

***

# 6
CrHg: relaxed, PBE.

abc: 4.8856 5.2890 5.9054
angles: 90.00 90.00 90.00
Site moments in Bohr magnetons follow the coordinates.
Fractional positions:
Hg 0.2500 0.6034 0.8798  -0.02
Hg 0.7500 0.8966 0.3798  -0.02
Hg 0.7500 0.3966 0.1202  -0.02
Hg 0.2500 0.1034 0.6202  -0.02
Cr 0.2500 0.0956 0.1229  3.71
Cr 0.2500 0.5956 0.3771  3.71
Cr 0.7500 0.9044 0.8771  3.71
Cr 0.7500 0.4044 0.6229  3.71

volume	152.6	Å³/cell
crystal system	orthorhombic
E	-4.3748	eV/atom
energy of formation	587.8	meV/atom

***

# 7
CrHg: relaxed, PBE.

abc: 7.7422 7.7422 7.7422
angles: 90.00 90.00 90.00
Site moments in Bohr magnetons follow the coordinates.
Fractional positions:
Cr 0.7500 0.5000 0.0000  3.97
Cr 0.5000 0.0000 0.2500  3.97
Cr 0.0000 0.7500 0.5000  3.97
Cr 0.5000 0.0000 0.7500  3.97
Cr 0.0000 0.2500 0.5000  3.97
Cr 0.2500 0.5000 0.0000  3.97
Hg 0.5000 0.2500 0.0000  0.06
Hg 0.0000 0.5000 0.7500  0.06
Hg 0.7500 0.0000 0.5000  0.06
Hg 0.5000 0.7500 0.0000  0.06
Hg 0.2500 0.0000 0.5000  0.06
Hg 0.0000 0.5000 0.2500  0.06

volume	464.1	Å³/cell
crystal system	cubic
E	-3.7266	eV/atom
energy of formation	1236.0	meV/atom

***

# 8
Cr5Hg: relaxed, PBE.

abc: 4.8181 4.8181 6.2201
angles: 72.53 72.53 35.31
Fractional positions:
Hg 0.5000 0.5000 0.5000
Cr 0.8230 0.8230 0.2972
Cr 0.1737 0.1737 0.1454
Cr 0.8263 0.8263 0.8546
Cr 0.1770 0.1770 0.7028
Cr 0.5000 0.5000 0.0000

volume	79.2	Å³/cell
energy above the lowest structure with this stoichiometry	0.00	eV/f.u.
crystal system	monoclinic
E	-7.6730	eV/atom
energy of formation	396.7	meV/atom

***

Q: Which value of volume does entry 2 give?
A: 44.2 Å³/cell